Record 1
Ac2Al4AgGe3 after structural relaxation. Source: Alexandria via LeMat-Bulk, functional GGA-PBE.

Lattice parameters (Å, degrees): 4.523 4.523 10.939 90.00 90.00 90.00
Positions (direct):
Ac 0.000 0.500 0.244
Ac 0.500 0.000 0.756
Al 0.000 0.000 0.500
Al 0.000 0.500 0.875
Al 0.500 0.000 0.125
Al 0.500 0.500 0.500
Ag 0.500 0.500 0.000
Ge 0.000 0.000 0.000
Ge 0.000 0.500 0.632
Ge 0.500 0.000 0.368

Space-group type: No. 115
Total moment (μB/cell): 0.00
ΔE_f (eV/atom): -0.342


Record 2
CrTcTe after structural relaxation. Source: Alexandria via LeMat-Bulk, functional GGA-PBE.

Lattice parameters (Å, degrees): 4.060 4.060 8.376 90.12 90.12 60.46
Positions (direct):
Cr 0.166 0.166 0.056
Cr 0.834 0.834 0.944
Tc 0.498 0.498 0.853
Tc 0.502 0.502 0.147
Te 0.163 0.163 0.683
Te 0.837 0.837 0.317

ΔE to the lowest computed polymorph (eV per atom): 0.106
Space-group type: No. 12
Total moment (μB/cell): 0.00
Energy relative to the elements, uncorrected (eV per atom): 0.0947


Record 3
Mg2Mo after structural relaxation. Source: Alexandria via LeMat-Bulk, functional GGA-PBE.

Lattice parameters (Å, degrees): 5.129 5.129 2.668 90.00 90.00 90.00
Positions (direct):
Mg 0.000 0.500 0.000
Mg 0.500 0.000 0.000
Mo 0.000 0.000 0.500

ΔE to the lowest computed polymorph (eV per atom): 0.386
Space-group type: No. 123
Total moment (μB/cell): 0.07
ΔE_f (eV/atom): 0.608


Record 4
Pu4AsPCl2 after structural relaxation. Source: Alexandria via LeMat-Bulk, functional GGA-PBE.

Lattice parameters (Å, degrees): 6.909 4.082 7.120 90.00 110.42 90.00
Positions (direct):
Pu 0.241 0.000 0.241
Pu 0.247 0.500 0.758
Pu 0.753 0.500 0.242
Pu 0.759 0.000 0.759
As 0.000 0.000 0.500
P 0.000 0.500 0.000
Cl 0.500 0.000 0.000
Cl 0.500 0.500 0.500

Space-group type: No. 10
Total moment (μB/cell): 0.00
Energy relative to the elements, uncorrected (eV per atom): -1.1662


Record 5
Ti3ZnAg after structural relaxation. Source: Alexandria via LeMat-Bulk, functional GGA-PBE.

Lattice parameters (Å, degrees): 4.678 4.678 4.678 90.00 90.00 90.00
Positions (direct):
Ti 0.000 0.000 0.500
Ti 0.000 0.500 0.000
Ti 0.500 0.000 0.000
Zn 0.000 0.000 0.000
Ag 0.500 0.500 0.500

ΔE to the lowest computed polymorph (eV per atom): 0.000
Space-group type: No. 221
Total moment (μB/cell): 0.98
ΔE_f (eV/atom): 0.815


Record 6
RhCBr3 after structural relaxation. Source: Alexandria via LeMat-Bulk, functional GGA-PBE.

Lattice parameters (Å, degrees): 5.042 5.042 5.042 90.00 90.00 90.00
Positions (direct):
Rh 0.000 0.000 0.000
C 0.500 0.500 0.500
Br 0.000 0.000 0.500
Br 0.000 0.500 0.000
Br 0.500 0.000 0.000

ΔE to the lowest computed polymorph (eV per atom): 0.000
Space-group type: No. 221
Total moment (μB/cell): 0.94
Energy relative to the elements, uncorrected (eV per atom): 1.4354


Record 7
Sc2Zn2Ru after structural relaxation. Source: Alexandria via LeMat-Bulk, functional GGA-PBE.

Lattice parameters (Å, degrees): 8.685 8.685 8.685 157.70 157.70 31.75
Positions (direct):
Sc 0.091 0.091 0.000
Sc 0.909 0.909 0.000
Zn 0.250 0.750 0.500
Zn 0.750 0.250 0.500
Ru 0.500 0.500 0.000

ΔE to the lowest computed polymorph (eV per atom): 0.040
Space-group type: No. 139
Total moment (μB/cell): 0.00
ΔE_f (eV/atom): -0.178


Record 8
UGaIrRh after structural relaxation. Source: Alexandria via LeMat-Bulk, functional GGA-PBE.

Lattice parameters (Å, degrees): 4.635 4.635 4.635 60.00 60.00 60.00
Positions (direct):
U 0.000 0.000 0.000
Ga 0.500 0.500 0.500
Ir 0.750 0.750 0.750
Rh 0.250 0.250 0.250

Space-group type: No. 216
Total moment (μB/cell): 1.41
ΔE_f (eV/atom): -0.476


Record 9
HoErTm2Sc after structural relaxation. Source: Alexandria via LeMat-Bulk, functional GGA-PBE.

Lattice parameters (Å, degrees): 6.845 6.845 7.011 90.00 90.00 107.81
Positions (direct):
Ho 0.230 0.770 0.750
Ho 0.770 0.230 0.250
Er 0.229 0.771 0.250
Er 0.771 0.229 0.750
Tm 0.197 0.197 0.000
Tm 0.197 0.197 0.500
Tm 0.803 0.803 0.000
Tm 0.803 0.803 0.500
Sc 0.500 0.500 0.250
Sc 0.500 0.500 0.750

Space-group type: No. 63
Total moment (μB/cell): 0.00
ΔE_f (eV/atom): 0.358


Record 10
NpAgSnS4 after structural relaxation. Source: Alexandria via LeMat-Bulk, functional GGA-PBE.

Lattice parameters (Å, degrees): 7.979 7.979 7.979 121.19 119.79 89.16
Positions (direct):
Np 0.000 0.000 0.000
Np 0.500 0.000 0.500
Ag 0.378 0.628 0.750
Ag 0.622 0.372 0.250
Sn 0.000 0.000 0.500
Sn 0.000 0.500 0.000
S 0.225 0.230 0.996
S 0.245 0.225 0.480
S 0.245 0.766 0.020
S 0.266 0.770 0.496
S 0.734 0.230 0.504
S 0.755 0.234 0.980
S 0.755 0.775 0.520
S 0.775 0.770 0.004

Space-group type: No. 74
Total moment (μB/cell): 5.11
Energy relative to the elements, uncorrected (eV per atom): -0.6762


Record 11
BaCuP after structural relaxation. Source: Alexandria via LeMat-Bulk, functional GGA-PBE.

Lattice parameters (Å, degrees): 6.129 5.601 6.203 62.32 54.02 63.66
Positions (direct):
Ba 0.193 0.807 0.193
Ba 0.807 0.193 0.807
Cu 0.203 0.514 0.797
Cu 0.514 0.203 0.486
P 0.498 0.808 0.502
P 0.808 0.498 0.192

Space-group type: No. 42
Total moment (μB/cell): 0.00
ΔE_f (eV/atom): -0.544


Record 12
NaPm2PaP4 after structural relaxation. Source: Alexandria via LeMat-Bulk, functional GGA-PBE.

Lattice parameters (Å, degrees): 7.027 4.127 7.059 90.00 108.64 90.00
Positions (direct):
Na 0.000 0.000 0.000
Pm 0.000 0.500 0.500
Pm 0.500 0.000 0.500
Pa 0.500 0.500 0.000
P 0.262 0.000 0.761
P 0.271 0.500 0.245
P 0.729 0.500 0.755
P 0.738 0.000 0.239

Space-group type: No. 10
Total moment (μB/cell): 0.00
ΔE_f (eV/atom): -1.119


Uncorrected energy in eV per atom, matching the order above: -4.331, -7.616, -4.065, -10.051, -4.747, -2.883, -5.075, -8.108, -4.525, -5.863, -4.353, -6.363